A PBEsol-optimized structure of PtWAu2, computed with SCAN.

The structure in POSCAR format:
```
PtWAu2
1.0
4.4838 0.0000 0.0000
2.2419 3.8831 0.0000
2.2419 1.2944 3.6610
Au W Pt
2 1 1
Direct
0.7500 0.7500 0.7500
0.2500 0.2500 0.2500
0.5000 0.5000 0.5000
0.0000 0.0000 0.0000
```

Energy above the most stable polymorph in this dataset: 377.0 meV per atom
Energy relative to the elements: 357 meV/atom

=====

A PBEsol-optimized structure of LaPt4Au, computed with SCAN.

The structure in POSCAR format:
```
LaPt4Au
1.0
-0.0306 -1.5551 -5.1141
2.7279 -4.3497 -1.4872
-2.6165 -4.4368 -1.4288
Pt Au La
4 1 1
Direct
0.8730 0.3757 0.3757
0.3757 0.8730 0.3757
0.3757 0.3757 0.3757
0.3757 0.3757 0.8730
0.7500 0.7500 0.7500
0.0000 0.0000 0.0000
```

Energy relative to the elements: -818 meV/atom

=====

A PBEsol-optimized structure of FeMoW2, computed with SCAN.

The structure in POSCAR format:
```
FeMoW2
1.0
2.6496 0.0000 0.0021
0.0000 4.3611 0.0000
-0.8595 0.0000 5.0399
Fe W Mo
1 2 1
Direct
0.5032 0.0000 0.4984
0.0022 0.0000 0.9988
0.7461 0.5000 0.2559
0.2486 0.5000 0.7470
```

Energy above the most stable polymorph in this dataset: 38.1 meV per atom
Energy relative to the elements: 117 meV/atom

=====

A PBEsol-optimized structure of RbVSO6, computed with SCAN.

The structure in POSCAR format:
```
RbVSO6
1.0
-1.8925 4.3938 2.8010
1.1310 -4.3384 7.5695
10.2398 3.9445 0.7308
O V S Rb
24 4 4 4
Direct
0.2932 0.8959 0.6935
0.2070 0.5772 0.2897
0.7068 0.3959 0.8065
0.8090 0.7650 0.5112
0.7930 0.0772 0.2103
0.9462 0.3851 0.1946
0.4775 0.8606 0.8952
0.0538 0.8851 0.3054
0.7070 0.9228 0.7103
0.5225 0.3606 0.6048
0.0200 0.4963 0.5166
0.7932 0.6041 0.3065
0.4462 0.1149 0.8054
0.5538 0.6149 0.6946
0.9800 0.9963 0.9834
0.9775 0.6394 0.1048
0.2930 0.4228 0.7897
0.1910 0.2650 0.9888
0.5200 0.0037 0.4834
0.4800 0.5037 0.0166
0.2068 0.1041 0.1935
0.3090 0.7350 0.4888
0.6910 0.2350 0.0112
0.0225 0.1394 0.3952
0.0279 0.6520 0.4414
0.5279 0.8480 0.5586
0.9721 0.1520 0.0586
0.4721 0.3480 0.9414
0.9803 0.5469 0.2137
0.0197 0.0469 0.2863
0.4803 0.9531 0.7863
0.5197 0.4531 0.7137
0.0130 0.1917 0.6496
0.4870 0.8083 0.1496
0.9870 0.6917 0.8504
0.5130 0.3083 0.3504
```

Uncorrected formation energy: -2147.1 meV/atom

=====

Number 1: size of the total moment 0.0 Bohr magnetons per cell. Number 2: size of the total moment 0.0 Bohr magnetons per cell. Number 3: size of the total moment 2.6 Bohr magnetons per cell. Number 4: size of the total moment 0.0 Bohr magnetons per cell.